DFT (GGA-PBE) results for an optimized crystal structure of HfMgHg2.

Unit cell a=3.2504 b=3.2504 c=9.7949 alpha=99.75 beta=99.75 gamma=59.62
With the nearest neighbours (Å) after each atom.
Sites, in units of the cell vectors:
Hf 0.0000 0.0000 0.0000  6 Hg 3.07-3.08, 6 Hf 3.23-3.25
Mg 0.1683 0.1683 0.4992  6 Hg 3.01-3.02, 6 Mg 3.23-3.25
Hg 0.5832 0.5832 0.7456  3 Mg 3.02, 3 Hf 3.07-3.08, 6 Hg 3.23-3.25
Hg 0.7532 0.7532 0.2540  3 Mg 3.01, 3 Hf 3.07-3.08, 6 Hg 3.23-3.25

Properties
Uncorrected energy: -3.073 eV/atom
Energy of formation from the pure elements: -0.035 eV per atom
Space-group type: Cm (8)

DFT (GGA-PBE) results for an optimized crystal structure of RbGaPb.

Unit cell a=8.6265 b=8.6265 c=7.9504 alpha=90.00 beta=90.00 gamma=90.00
With the nearest neighbours (Å) after each atom.
Sites, in units of the cell vectors:
Rb 0.0000 0.3428 0.0000  2 Pb 3.54
Rb 0.0000 0.6572 0.5000  2 Pb 3.54
Rb 0.3428 0.0000 0.7500  2 Pb 3.54
Rb 0.6572 0.0000 0.2500  2 Pb 3.54
Ga 0.3781 0.3781 0.3750  2 Ga 2.89, 4 Pb 3.12-3.23
Ga 0.3781 0.6219 0.1250  2 Ga 2.89, 4 Pb 3.12-3.23
Ga 0.6219 0.3781 0.6250  2 Ga 2.89, 4 Pb 3.12-3.23
Ga 0.6219 0.6219 0.8750  2 Ga 2.89, 4 Pb 3.12-3.23
Pb 0.3017 0.5000 0.7500  4 Ga 3.12-3.23, 2 Pb 3.13
Pb 0.5000 0.3017 0.0000  4 Ga 3.12-3.23, 2 Pb 3.13
Pb 0.5000 0.6983 0.5000  4 Ga 3.12-3.23, 2 Pb 3.13
Pb 0.6983 0.5000 0.2500  4 Ga 3.12-3.23, 2 Pb 3.13

Properties
Uncorrected energy: -2.573 eV/atom
Energy of formation from the pure elements: -0.005 eV per atom
Space-group type: P4_122 (91)

DFT (GGA-PBE) results for an optimized crystal structure of TbTh2ZrP4.

Unit cell a=6.9201 b=4.0157 c=6.9672 alpha=90.00 beta=109.44 gamma=90.00
With the nearest neighbours (Å) after each atom.
Sites, in units of the cell vectors:
Tb 0.0000 0.0000 0.0000  6 P 2.81
Th 0.5000 0.0000 0.5000  6 P 2.87
Th 0.5000 0.5000 0.0000  6 P 2.92-2.93
Zr 0.0000 0.5000 0.5000  6 P 2.75
P 0.2320 0.0000 0.7375  2 Zr 2.75, 1 Tb 2.81, 3 Th 2.87-2.93
P 0.2367 0.5000 0.2525  1 Zr 2.75, 2 Tb 2.81, 3 Th 2.87-2.92
P 0.7633 0.5000 0.7475  1 Zr 2.75, 2 Tb 2.81, 3 Th 2.87-2.92
P 0.7680 0.0000 0.2625  2 Zr 2.75, 1 Tb 2.81, 3 Th 2.87-2.93

Properties
Uncorrected energy: -7.702 eV/atom
Energy of formation from the pure elements: -1.495 eV per atom
Space-group type: P2/m (10)

DFT (GGA-PBE) results for an optimized crystal structure of Nd4TlZn2.

Unit cell a=9.7743 b=9.7743 c=9.7743 alpha=30.59 beta=30.59 gamma=30.59
With the nearest neighbours (Å) after each atom.
Sites, in units of the cell vectors:
Nd 0.1180 0.1180 0.1180  3 Tl 3.27, 3 Zn 3.28
Nd 0.2964 0.2964 0.2964  4 Zn 2.95-3.11
Nd 0.7036 0.7036 0.7036  4 Zn 2.95-3.11
Nd 0.8820 0.8820 0.8820  3 Tl 3.27, 3 Zn 3.28
Tl 0.5000 0.5000 0.5000  2 Zn 2.73
Zn 0.4022 0.4022 0.4022  1 Tl 2.73, 1 Nd 2.95
Zn 0.5978 0.5978 0.5978  1 Tl 2.73, 1 Nd 2.95

Properties
Uncorrected energy: -3.507 eV/atom
Energy of formation from the pure elements: -0.081 eV per atom
Energy above the most stable polymorph in this dataset: 114 meV/atom
Space-group type: R-3m (166)

DFT (GGA-PBE) results for an optimized crystal structure of ErBe2Co3.

Unit cell a=4.9221 b=4.9221 c=3.4696 alpha=90.00 beta=90.00 gamma=120.00
With the nearest neighbours (Å) after each atom.
Sites, in units of the cell vectors:
Er 0.0000 0.0000 0.0000  6 Be 2.84, 12 Co 3.01
Be 0.3333 0.6667 0.0000  6 Co 2.24
Be 0.6667 0.3333 0.0000  6 Co 2.24
Co 0.0000 0.5000 0.5000  4 Be 2.24, 4 Co 2.46
Co 0.5000 0.0000 0.5000  4 Be 2.24, 4 Co 2.46
Co 0.5000 0.5000 0.5000  4 Be 2.24, 4 Co 2.46

Properties
Uncorrected energy: -5.846 eV/atom
Energy of formation from the pure elements: -0.291 eV per atom
Space-group type: P6/mmm (191)

DFT (GGA-PBE) results for an optimized crystal structure of AcCeHfN4.

Unit cell a=6.9730 b=6.9730 c=5.9533 alpha=90.00 beta=90.00 gamma=129.73
With the nearest neighbours (Å) after each atom.
Sites, in units of the cell vectors:
Ac 0.1074 0.8926 0.7500  1 N 2.42
Ac 0.8926 0.1074 0.2500  1 N 2.42
Ce 0.3925 0.6075 0.7500  1 N 2.13
Ce 0.6075 0.3925 0.2500  1 N 2.13
Hf 0.2516 0.7484 0.2500  5 N 2.10-2.11
Hf 0.7484 0.2516 0.7500  5 N 2.10-2.11
N 0.0000 0.5000 0.0000  2 Hf 2.10
N 0.0000 0.5000 0.5000  2 Hf 2.10
N 0.0846 0.9154 0.2500  1 Hf 2.11
N 0.4390 0.5610 0.2500  1 Ce 2.13, 1 Hf 2.37
N 0.5000 0.0000 0.0000  2 Hf 2.10
N 0.5000 0.0000 0.5000  2 Hf 2.10
N 0.5610 0.4390 0.7500  1 Ce 2.13, 1 Hf 2.37
N 0.9154 0.0846 0.7500  1 Hf 2.11

Properties
Uncorrected energy: -8.764 eV/atom
Space-group type: Cmcm (63)
ΔE_f (raw): -26.5 kcal/mol of atoms

- Which value of uncorrected energy does entry 3 give?
  -7.702 eV/atom